Computed, not measured: crystalline PuZrGa6 at its relaxed geometry at the PBE-GGA level of DFT.

```
8
Lattice="-4.001 -0.303 -1.217 -1.146 -0.772 3.959 -1.023 8.238 1.310" Properties=species:S:1:pos:R:3 pbc="T T T"
Pu 0.000 0.000 0.000
Zr -0.512 4.119 0.655
Ga -2.574 -0.538 1.371
Ga -3.085 3.581 2.026
Ga -2.260 1.938 -0.276
Ga -2.764 5.997 0.369
Ga -0.833 1.704 2.312
Ga -1.337 5.762 2.957
```

Output
As for the formation energy from the elements: -0.4439 eV/atom. Its electronic total energy is -0.2048 hartree per atom. As for the crystal system: tetragonal.

***

Computed, not measured: crystalline PuZr2Ga9 at its relaxed geometry at the PBE-GGA level of DFT.

```
12
Lattice="-1.381 3.918 0.404 -3.345 -1.393 2.071 6.231 1.085 10.793" Properties=species:S:1:pos:R:3 pbc="T T T"
Pu 0.000 0.000 0.000
Zr 2.119 0.369 3.670
Zr 4.112 0.716 7.123
Ga -2.363 1.262 1.237
Ga -0.285 1.624 4.837
Ga 1.789 1.986 8.431
Ga 0.376 2.145 2.050
Ga 2.425 2.501 5.598
Ga 4.473 2.858 9.147
Ga -0.606 -0.511 2.883
Ga 1.443 -0.154 6.432
Ga 3.491 0.203 9.981
```

Output
As for the formation energy from the elements: -0.4513 eV/atom. Its electronic total energy is -0.1963 hartree per atom. As for the crystal system: tetragonal.

***

Computed, not measured: crystalline PuZrGa at its relaxed geometry at the PBE-GGA level of DFT.

```
3
Lattice="3.095 0.000 0.000 0.000 3.095 0.000 -1.548 -1.548 6.836" Properties=species:S:1:pos:R:3 pbc="T T T"
Zr 0.000 0.000 4.332
Ga 1.548 1.548 2.364
Pu 0.000 0.000 0.139
```

Output
Its offset from the most stable computed form is 94 meV per atom. As for the formation energy from the elements: -0.1897 eV/atom. Its electronic total energy is -0.3243 hartree per atom. As for the crystal system: tetragonal.

***

Computed, not measured: crystalline PuZrGa at its relaxed geometry at the PBE-GGA level of DFT.

```
3
Lattice="-1.737 -1.570 2.192 3.626 0.555 3.271 -3.528 3.403 -0.359" Properties=species:S:1:pos:R:3 pbc="T T T"
Ga -2.590 1.146 2.677
Zr -1.448 -1.309 1.828
Pu 0.662 0.981 2.792
```

Output
Its offset from the most stable computed form is 192 meV per atom. As for the formation energy from the elements: -0.0918 eV/atom. Its electronic total energy is -0.3207 hartree per atom. As for the crystal system: hexagonal.